[1]
# BaPtSe

A relaxed structure of BaPtSe (GGA-PBE, Alexandria via LeMat-Bulk).

Unit cell a=4.5411 b=4.5411 c=15.5587 alpha=90.00 beta=90.00 gamma=90.00
Last column: nearest neighbours and their distance in Å.
Sites, in units of the cell vectors:
1 Ba 0.0000 0.0000 0.0000  6 Pt 3.37-3.50, 6 Se 3.39-3.49
2 Ba 0.0000 0.5000 0.2500  6 Pt 3.37-3.50, 6 Se 3.39-3.49
3 Ba 0.5000 0.0000 0.7500  6 Pt 3.37-3.50, 6 Se 3.39-3.49
4 Ba 0.5000 0.5000 0.5000  6 Pt 3.37-3.50, 6 Se 3.39-3.49
5 Pt 0.0000 0.0000 0.5902  3 Se 2.53-2.78
6 Pt 0.0000 0.5000 0.8402  3 Se 2.53-2.78
7 Pt 0.5000 0.0000 0.3402  3 Se 2.53-2.78
8 Pt 0.5000 0.5000 0.0902  3 Se 2.53-2.78
9 Se 0.0000 0.0000 0.4116  3 Pt 2.53-2.78
10 Se 0.0000 0.5000 0.6616  3 Pt 2.53-2.78
11 Se 0.5000 0.0000 0.1616  3 Pt 2.53-2.78
12 Se 0.5000 0.5000 0.9116  3 Pt 2.53-2.78

Summary:
The calculation puts the formation energy from raw total energies at -1143 meV per atom. Its space group is I4_1md (109).

[2]
# ScAlNF2

A relaxed structure of ScAlNF2 (GGA-PBE, Alexandria via LeMat-Bulk).

Unit cell a=3.9909 b=3.9909 c=4.4586 alpha=90.00 beta=90.00 gamma=90.00
Last column: nearest neighbours and their distance in Å.
Sites, in units of the cell vectors:
1 Sc 0.0000 0.0000 0.0000  4 F 2.00, 2 N 2.23
2 Al 0.5000 0.5000 0.5000  4 N 2.82, 8 F 2.99
3 N 0.0000 0.0000 0.5000  2 Sc 2.23
4 F 0.0000 0.5000 0.0000  2 Sc 2.00
5 F 0.5000 0.0000 0.0000  2 Sc 2.00

Summary:
The calculation puts the formation energy from raw total energies at -1692 meV per atom. Its space group is P4/mmm (123).

[3]
# Li4TlF7

A relaxed structure of Li4TlF7 (GGA-PBE, Alexandria via LeMat-Bulk).

Unit cell a=7.6877 b=7.6877 c=6.2196 alpha=90.00 beta=90.00 gamma=60.70
Last column: nearest neighbours and their distance in Å.
Sites, in units of the cell vectors:
1 Li 0.0401 0.7128 0.7500  4 F 1.82-1.93
2 Li 0.2872 0.9599 0.7500  4 F 1.82-1.93
3 Li 0.2971 0.2971 0.0000  4 F 1.82-1.95
4 Li 0.2971 0.2971 0.5000  4 F 1.82-1.95
5 Li 0.7029 0.7029 0.0000  4 F 1.82-1.95
6 Li 0.7029 0.7029 0.5000  4 F 1.82-1.95
7 Li 0.7128 0.0401 0.2500  4 F 1.82-1.93
8 Li 0.9599 0.2872 0.2500  4 F 1.82-1.93
9 Tl 0.2468 0.7532 0.2500  5 F 2.17
10 Tl 0.7532 0.2468 0.7500  5 F 2.17
11 F 0.0323 0.9677 0.7500  2 Li 1.93
12 F 0.1997 0.5842 0.0005  2 Li 1.93-1.95
13 F 0.1997 0.5842 0.4995  2 Li 1.93-1.95
14 F 0.2186 0.2322 0.2500  3 Li 1.82
15 F 0.2322 0.2186 0.7500  3 Li 1.82
16 F 0.4158 0.8003 0.0005  2 Li 1.93-1.95
17 F 0.4158 0.8003 0.4995  2 Li 1.93-1.95
18 F 0.5842 0.1997 0.9995  2 Li 1.93-1.95
19 F 0.5842 0.1997 0.5005  2 Li 1.93-1.95
20 F 0.7678 0.7814 0.2500  3 Li 1.82
21 F 0.7814 0.7678 0.7500  3 Li 1.82
22 F 0.8003 0.4158 0.9995  2 Li 1.93-1.95
23 F 0.8003 0.4158 0.5005  2 Li 1.93-1.95
24 F 0.9677 0.0323 0.2500  2 Li 1.93

Summary:
The calculation puts the formation energy from raw total energies at -2538 meV per atom. Its space group is Cmcm (63).

[4]
# Mg8Tl2Au

A relaxed structure of Mg8Tl2Au (GGA-PBE, Alexandria via LeMat-Bulk).

Unit cell a=8.5135 b=8.5135 c=6.6733 alpha=111.84 beta=111.84 gamma=33.99
Last column: nearest neighbours and their distance in Å.
Sites, in units of the cell vectors:
1 Mg 0.0074 0.0074 0.2709  2 Au 2.95, 1 Tl 3.11, 7 Mg 3.16-3.24
2 Mg 0.1836 0.1836 0.7097  8 Mg 3.14-3.20, 3 Tl 3.16-3.22
3 Mg 0.3546 0.3546 0.5990  1 Au 2.69
4 Mg 0.3771 0.3771 0.0930  1 Au 2.67
5 Mg 0.6229 0.6229 0.9070  1 Au 2.67
6 Mg 0.6454 0.6454 0.4010  1 Au 2.69
7 Mg 0.8164 0.8164 0.2903  8 Mg 3.14-3.20, 3 Tl 3.16-3.22
8 Mg 0.9926 0.9926 0.7291  2 Au 2.95, 1 Tl 3.11, 7 Mg 3.16-3.24
9 Tl 0.1808 0.1808 0.1802  10 Mg 3.01-3.36
10 Tl 0.8192 0.8192 0.8198  10 Mg 3.01-3.36
11 Au 0.5000 0.5000 0.5000  8 Mg 2.67-2.95

Summary:
The calculated formation energy comes out at -0.135 eV per atom. Its space group is C2/m (12).

[5]
# Na4CoCl6

A relaxed structure of Na4CoCl6 (GGA-PBE, Alexandria via LeMat-Bulk).

Unit cell a=7.9308 b=7.9308 c=7.9308 alpha=91.04 beta=91.04 gamma=91.04
Last column: nearest neighbours and their distance in Å.
Sites, in units of the cell vectors:
1 Na 0.1259 0.7500 0.3741  8 Cl 2.94-3.26
2 Na 0.2500 0.2500 0.2500  6 Cl 2.81
3 Na 0.2500 0.6259 0.8741  8 Cl 2.94-3.26
4 Na 0.3741 0.1259 0.7500  8 Cl 2.94-3.26
5 Na 0.6259 0.8741 0.2500  8 Cl 2.94-3.26
6 Na 0.7500 0.3741 0.1259  8 Cl 2.94-3.26
7 Na 0.7500 0.7500 0.7500  6 Cl 2.81
8 Na 0.8741 0.2500 0.6259  8 Cl 2.94-3.26
9 Co 0.0000 0.0000 0.0000  6 Cl 2.45
10 Co 0.5000 0.5000 0.5000  6 Cl 2.45
11 Cl 0.0496 0.9356 0.7023  1 Co 2.45
12 Cl 0.0644 0.2977 0.9504  1 Co 2.45
13 Cl 0.2023 0.4356 0.5496  1 Co 2.45
14 Cl 0.2977 0.9504 0.0644  1 Co 2.45
15 Cl 0.4356 0.5496 0.2023  1 Co 2.45
16 Cl 0.4504 0.7977 0.5644  1 Co 2.45
17 Cl 0.5496 0.2023 0.4356  1 Co 2.45
18 Cl 0.5644 0.4504 0.7977  1 Co 2.45
19 Cl 0.7023 0.0496 0.9356  1 Co 2.45
20 Cl 0.7977 0.5644 0.4504  1 Co 2.45
21 Cl 0.9356 0.7023 0.0496  1 Co 2.45
22 Cl 0.9504 0.0644 0.2977  1 Co 2.45

Summary:
The calculation puts the formation energy from raw total energies at -1399 meV per atom. Its space group is R-3c (167).

Table of Fermi-level density of states (states/eV/cell), in record order: 0.00; 0.29; 0.00; 4.01; 20.84